(1)
# PuMg2Tl2

PuMg2Tl2 after structural relaxation (GGA-PBE, the Alexandria database).

## Properties
Calculated total energy: -4.432 eV per atom
Energy above the lowest structure with this stoichiometry: 0 meV/atom
DFT formation energy: 0.091 eV per formula unit
V: 24.90 Å³ per atom

Cell and atoms, written as CIF:
```
data_PuMg2Tl2
_chemical_formula_sum 'Pu2 Mg4 Tl4'
_space_group_name_H-M_alt 'P 4/m b m'
_space_group_IT_number 127
_space_group_name_Hall '-P 4 2ab'
_cell_length_a 8.7465
_cell_length_b 8.7465
_cell_length_c 3.2551
_cell_angle_alpha 90.00
_cell_angle_beta 90.00
_cell_angle_gamma 90.00
loop_
_atom_site_label
_atom_site_type_symbol
_atom_site_fract_x
_atom_site_fract_y
_atom_site_fract_z
Pu1 Pu 0.0000 0.0000 0.0000
Mg1 Mg 0.1236 0.3764 0.0000
Tl1 Tl 0.1739 0.6739 0.5000
```


(2)
# Si2BSe

Si2BSe after structural relaxation (GGA-PBE, the Alexandria database).

## Properties
Calculated total energy: -4.098 eV per atom
Energy above the lowest structure with this stoichiometry: 1044 meV/atom
V: 14.47 Å³ per atom
Formation energy (no corrections): 1.154 eV per atom

Cell and atoms, written as CIF:
```
data_Si2BSe
_chemical_formula_sum 'Si8 B4 Se4'
_space_group_name_H-M_alt 'F m -3 m'
_space_group_IT_number 225
_space_group_name_Hall '-F 4 2 3'
_cell_length_a 6.1403
_cell_length_b 6.1403
_cell_length_c 6.1403
_cell_angle_alpha 90.00
_cell_angle_beta 90.00
_cell_angle_gamma 90.00
loop_
_atom_site_label
_atom_site_type_symbol
_atom_site_fract_x
_atom_site_fract_y
_atom_site_fract_z
Si1 Si 0.2500 0.2500 0.2500
B1 B 0.0000 0.0000 0.0000
Se1 Se 0.0000 0.0000 0.5000
```


(3)
# ThCrGa2

ThCrGa2 after structural relaxation (GGA-PBE, the Alexandria database).

## Properties
Calculated total energy: -5.984 eV per atom
DFT formation energy: -0.839 eV per formula unit
V: 21.02 Å³ per atom

Cell and atoms, written as CIF:
```
data_ThCrGa2
_chemical_formula_sum 'Th3 Cr3 Ga6'
_space_group_name_H-M_alt 'R -3 m'
_space_group_IT_number 166
_space_group_name_Hall '-R 3 2"'
_cell_length_a 4.3047
_cell_length_b 4.3047
_cell_length_c 15.7202
_cell_angle_alpha 90.00
_cell_angle_beta 90.00
_cell_angle_gamma 120.00
loop_
_atom_site_label
_atom_site_type_symbol
_atom_site_fract_x
_atom_site_fract_y
_atom_site_fract_z
Th1 Th 0.0000 0.0000 0.0000
Cr1 Cr 0.0000 0.0000 0.5000
Ga1 Ga 0.0000 0.0000 0.2137
```


(4)
# CeGa7Cu5

CeGa7Cu5 after structural relaxation (GGA-PBE, the Alexandria database).

## Properties
Calculated total energy: -3.914 eV per atom
DFT formation energy: -3.278 eV per formula unit
V: 15.55 Å³ per atom

Cell and atoms, written as CIF:
```
data_CeGa7Cu5
_chemical_formula_sum 'Ce2 Ga14 Cu10'
_space_group_name_H-M_alt 'I m m 2'
_space_group_IT_number 44
_cell_length_a 5.1974
_cell_length_b 8.9086
_cell_length_c 8.7311
_cell_angle_alpha 90.00
_cell_angle_beta 90.00
_cell_angle_gamma 90.00
loop_
_space_group_symop_operation_xyz
'x,y,z'
'-x,-y,z'
'-x,y,z'
'x,-y,z'
'x+1/2,y+1/2,z+1/2'
'-x+1/2,-y+1/2,z+1/2'
'-x+1/2,y+1/2,z+1/2'
'x+1/2,-y+1/2,z+1/2'
loop_
_atom_site_label
_atom_site_type_symbol
_atom_site_fract_x
_atom_site_fract_y
_atom_site_fract_z
Ce1 Ce 0.0000 0.0000 0.0000
Ga1 Ga 0.0000 0.0000 0.3506
Ga2 Ga 0.0000 0.0000 0.6528
Ga3 Ga 0.0000 0.2968 0.4906
Ga4 Ga 0.0000 0.3466 0.0068
Ga5 Ga 0.0000 0.5000 0.7264
Cu1 Cu 0.0000 0.5000 0.2692
Cu2 Cu 0.2478 0.2503 0.7469
```